A plane-wave DFT calculation with SCAN was carried out for LiVPH4O7 at its PBEsol-relaxed geometry.

Cell: 6.3645 6.3645 12.4051 Å, 90.00 90.00 90.36°
Atoms (fractional coordinates):
Li 0.1261 0.8739 0.9437
Li 0.3739 0.6261 0.4437
Li 0.6261 0.3739 0.5563
Li 0.8739 0.1261 0.0563
V 0.1205 0.8795 0.2952
V 0.3795 0.6205 0.7952
V 0.6205 0.3795 0.2048
V 0.8795 0.1205 0.7048
P 0.1218 0.3782 0.2500
P 0.3782 0.1218 0.7500
P 0.6218 0.8782 0.2500
P 0.8782 0.6218 0.7500
H 0.0530 0.7775 0.5407
H 0.2155 0.2417 0.9356
H 0.2225 0.9470 0.5407
H 0.2417 0.2155 0.0644
H 0.2583 0.2845 0.5644
H 0.2775 0.5530 0.0407
H 0.2845 0.2583 0.4356
H 0.4470 0.7225 0.0407
H 0.5530 0.2775 0.9593
H 0.7155 0.7417 0.5644
H 0.7225 0.4470 0.9593
H 0.7417 0.7155 0.4356
H 0.7583 0.7845 0.9356
H 0.7775 0.0530 0.4593
H 0.7845 0.7583 0.0644
H 0.9470 0.2225 0.4593
O 0.0737 0.6303 0.8226
O 0.1060 0.8940 0.1673
O 0.1272 0.1884 0.3298
O 0.1303 0.5737 0.3226
O 0.1623 0.8377 0.4929
O 0.1635 0.1635 0.0000
O 0.1884 0.1272 0.6702
O 0.3116 0.3728 0.1702
O 0.3365 0.3365 0.5000
O 0.3377 0.6623 0.9929
O 0.3697 0.9263 0.8226
O 0.3728 0.3116 0.8298
O 0.3940 0.6060 0.6673
O 0.4263 0.8697 0.3226
O 0.5737 0.1303 0.6774
O 0.6060 0.3940 0.3327
O 0.6272 0.6884 0.1702
O 0.6303 0.0737 0.1774
O 0.6623 0.3377 0.0071
O 0.6635 0.6635 0.5000
O 0.6884 0.6272 0.8298
O 0.8116 0.8728 0.3298
O 0.8365 0.8365 0.0000
O 0.8377 0.1623 0.5071
O 0.8697 0.4263 0.6774
O 0.8728 0.8116 0.6702
O 0.8940 0.1060 0.8327
O 0.9263 0.3697 0.1774

Results
* raw total energy: -0.3015 hartree per atom

---

A plane-wave DFT calculation with SCAN was carried out for Cu2RuI at its PBEsol-relaxed geometry.

Cell: 6.2616 6.2616 6.2616 Å, 90.00 90.00 90.00°
Atoms (fractional coordinates):
Cu 0.2500 0.2500 0.2500
Cu 0.2500 0.2500 0.7500
Cu 0.2500 0.7500 0.2500
Cu 0.2500 0.7500 0.7500
Cu 0.7500 0.2500 0.2500
Cu 0.7500 0.2500 0.7500
Cu 0.7500 0.7500 0.2500
Cu 0.7500 0.7500 0.7500
Ru 0.0000 0.0000 0.0000
Ru 0.0000 0.5000 0.5000
Ru 0.5000 0.0000 0.5000
Ru 0.5000 0.5000 0.0000
I 0.0000 0.0000 0.5000
I 0.0000 0.5000 0.0000
I 0.5000 0.0000 0.0000
I 0.5000 0.5000 0.5000

Results
* formation energy (no corrections): 1.05 eV/atom
* raw total energy: -0.8980 hartree per atom

---

A plane-wave DFT calculation with SCAN was carried out for LaAg2 at its PBEsol-relaxed geometry.

Cell: 5.7632 4.9907 9.4219 Å, 90.00 90.00 90.00°
Atoms (fractional coordinates):
La 0.1293 0.2500 0.1360
La 0.3707 0.7500 0.6360
La 0.6293 0.2500 0.3640
La 0.8707 0.7500 0.8640
Ag 0.1356 0.2500 0.4932
Ag 0.2267 0.7500 0.3147
Ag 0.2733 0.2500 0.8147
Ag 0.3644 0.7500 0.9932
Ag 0.6356 0.2500 0.0068
Ag 0.7267 0.7500 0.1853
Ag 0.7733 0.2500 0.6853
Ag 0.8644 0.7500 0.5068

Results
* raw total energy: -1.3059 hartree per atom
* ΔH_f (0 K): -24.8 kJ per mole of atoms

---

A plane-wave DFT calculation with SCAN was carried out for LaSc5 at its PBEsol-relaxed geometry.

Cell: 11.9277 3.3606 7.7529 Å, 90.00 103.45 90.00°
Atoms (fractional coordinates):
La 0.0000 0.0000 0.0000
La 0.5000 0.5000 0.0000
Sc 0.0533 0.0000 0.5966
Sc 0.1679 0.5000 0.3345
Sc 0.2217 0.5000 0.9244
Sc 0.3273 0.0000 0.6488
Sc 0.3793 0.0000 0.2769
Sc 0.5533 0.5000 0.5966
Sc 0.6679 0.0000 0.3345
Sc 0.7217 0.0000 0.9244
Sc 0.8273 0.5000 0.6488
Sc 0.8793 0.5000 0.2769

Results
* raw total energy: -0.6981 hartree per atom
* ΔH_f (0 K): 5.1 kJ per mole of atoms

---

A plane-wave DFT calculation with SCAN was carried out for KMgTlCu2 at its PBEsol-relaxed geometry.

Cell: 4.9863 4.9863 5.8680 Å, 90.00 90.00 90.00°
Atoms (fractional coordinates):
K 0.0000 0.0000 0.0000
Mg 0.5000 0.5000 0.0000
Tl 0.0000 0.0000 0.5000
Cu 0.0000 0.5000 0.5000
Cu 0.5000 0.0000 0.5000

Results
* raw total energy: -0.8262 hartree per atom
* ΔH_f (0 K): 70.4 kJ per mole of atoms

---

A plane-wave DFT calculation with SCAN was carried out for TlInPt at its PBEsol-relaxed geometry.

Cell: 6.4644 6.4644 6.4644 Å, 90.00 90.00 90.00°
Atoms (fractional coordinates):
Tl 0.0000 0.0000 0.0000
Tl 0.0000 0.5000 0.5000
Tl 0.5000 0.0000 0.5000
Tl 0.5000 0.5000 0.0000
In 0.0000 0.0000 0.5000
In 0.0000 0.5000 0.0000
In 0.5000 0.0000 0.0000
In 0.5000 0.5000 0.5000
Pt 0.2500 0.2500 0.2500
Pt 0.2500 0.7500 0.7500
Pt 0.7500 0.2500 0.7500
Pt 0.7500 0.7500 0.2500

Results
* raw total energy: -2.1663 hartree per atom
* ΔH_f (0 K): -29.1 kJ per mole of atoms

---

A plane-wave DFT calculation with SCAN was carried out for TcRhAu at its PBEsol-relaxed geometry.

Cell: 2.7572 3.8300 8.2831 Å, 90.00 90.00 90.00°
Atoms (fractional coordinates):
Tc 0.0000 0.0000 0.0000
Tc 0.5000 0.5000 0.5000
Rh 0.0000 0.0000 0.3509
Rh 0.5000 0.5000 0.8509
Au 0.0000 0.0000 0.6742
Au 0.5000 0.5000 0.1742

Results
* raw total energy: -1.6869 hartree per atom
* ΔH_f (0 K): 9.0 kJ per mole of atoms

---

A plane-wave DFT calculation with SCAN was carried out for Nb2HWN at its PBEsol-relaxed geometry.

Cell: 4.4586 4.4586 3.0799 Å, 90.00 90.00 90.00°
Atoms (fractional coordinates):
Nb 0.0000 0.5000 0.0000
Nb 0.5000 0.0000 0.0000
H 0.0000 0.0000 0.5000
W 0.5000 0.5000 0.5000
N 0.0000 0.0000 0.0000

Results
* raw total energy: -1.0856 hartree per atom

---

A plane-wave DFT calculation with SCAN was carried out for MnFe3 at its PBEsol-relaxed geometry.

Cell: 2.4352 3.8484 4.2151 Å, 90.00 90.00 90.00°
Atoms (fractional coordinates):
Mn 0.0000 0.0000 0.0000
Fe 0.0000 0.5000 0.6668
Fe 0.5000 0.0000 0.5051
Fe 0.5000 0.5000 0.1703

Results
* raw total energy: -0.6600 hartree per atom
* ΔH_f (0 K): 19.5 kJ per mole of atoms

---

A plane-wave DFT calculation with SCAN was carried out for PtRh2 at its PBEsol-relaxed geometry.

Cell: 5.3992 3.8293 8.0976 Å, 90.00 90.00 90.00°
Atoms (fractional coordinates):
Pt 0.1266 0.2500 0.0851
Pt 0.3734 0.7500 0.5851
Pt 0.6266 0.2500 0.4149
Pt 0.8734 0.7500 0.9149
Rh 0.1233 0.2500 0.4173
Rh 0.1243 0.2500 0.7476
Rh 0.3757 0.7500 0.2476
Rh 0.3767 0.7500 0.9173
Rh 0.6233 0.2500 0.0827
Rh 0.6243 0.2500 0.7524
Rh 0.8757 0.7500 0.2524
Rh 0.8767 0.7500 0.5827

Results
* raw total energy: -1.6885 hartree per atom
* ΔH_f (0 K): -3.3 kJ per mole of atoms

---

A plane-wave DFT calculation with SCAN was carried out for ZrSbCl2 at its PBEsol-relaxed geometry.

Cell: 6.0604 8.9357 3.0909 Å, 90.00 90.00 90.00°
Atoms (fractional coordinates):
Zr 0.0000 0.0000 0.0000
Zr 0.5000 0.5000 0.0000
Sb 0.0000 0.5000 0.0000
Sb 0.5000 0.0000 0.0000
Cl 0.2500 0.2500 0.5000
Cl 0.2500 0.7500 0.5000
Cl 0.7500 0.2500 0.5000
Cl 0.7500 0.7500 0.5000

Results
* formation energy (no corrections): -0.25 eV/atom
* raw total energy: -0.7802 hartree per atom

---

A plane-wave DFT calculation with SCAN was carried out for ScInBr2 at its PBEsol-relaxed geometry.

Cell: 3.5377 4.6583 5.8178 Å, 90.00 90.00 90.00°
Atoms (fractional coordinates):
Sc 0.0000 0.0000 0.0000
In 0.5000 0.0000 0.5000
Br 0.0000 0.5000 0.5000
Br 0.5000 0.5000 0.0000

Results
* formation energy (no corrections): -0.66 eV/atom
* raw total energy: -0.8195 hartree per atom

---

A plane-wave DFT calculation with SCAN was carried out for Nb3BiIr at its PBEsol-relaxed geometry.

Cell: 4.8667 4.8667 4.8667 Å, 90.00 90.00 90.00°
Atoms (fractional coordinates):
Nb 0.0000 0.0000 0.5000
Nb 0.0000 0.5000 0.0000
Nb 0.5000 0.0000 0.0000
Bi 0.5000 0.5000 0.5000
Ir 0.0000 0.0000 0.0000

Results
* raw total energy: -1.8075 hartree per atom
* ΔH_f (0 K): 60.8 kJ per mole of atoms

---

A plane-wave DFT calculation with SCAN was carried out for GePtSe2Br at its PBEsol-relaxed geometry.

Cell: 4.9023 4.9023 4.9883 Å, 90.00 90.00 90.00°
Atoms (fractional coordinates):
Ge 0.0000 0.0000 0.0000
Pt 0.5000 0.5000 0.5000
Se 0.0000 0.5000 0.5000
Se 0.5000 0.0000 0.5000
Br 0.5000 0.5000 0.0000

Results
* formation energy (no corrections): 0.37 eV/atom
* raw total energy: -1.0809 hartree per atom

---

A plane-wave DFT calculation with SCAN was carried out for MoOsAu2 at its PBEsol-relaxed geometry.

Cell: 2.7865 2.7865 28.0861 Å, 90.00 90.00 120.00°
Atoms (fractional coordinates):
Mo 0.0000 0.0000 0.0000
Mo 0.3333 0.6667 0.6667
Mo 0.6667 0.3333 0.3333
Os 0.0000 0.0000 0.7402
Os 0.3333 0.6667 0.4069
Os 0.6667 0.3333 0.0735
Au 0.0000 0.0000 0.2478
Au 0.0000 0.0000 0.4932
Au 0.3333 0.6667 0.1598
Au 0.3333 0.6667 0.9145
Au 0.6667 0.3333 0.5811
Au 0.6667 0.3333 0.8265

Results
* raw total energy: -2.2456 hartree per atom
* ΔH_f (0 K): 15.7 kJ per mole of atoms

---

A plane-wave DFT calculation with SCAN was carried out for TiBeAl2Pd at its PBEsol-relaxed geometry.

Cell: 4.1716 4.1716 4.2716 Å, 90.00 90.00 90.00°
Atoms (fractional coordinates):
Ti 0.0000 0.0000 0.0000
Be 0.0000 0.0000 0.5000
Al 0.0000 0.5000 0.5000
Al 0.5000 0.0000 0.5000
Pd 0.5000 0.5000 0.0000

Results
* raw total energy: -0.5023 hartree per atom
* ΔH_f (0 K): 6.3 kJ per mole of atoms

---

A plane-wave DFT calculation with SCAN was carried out for YSiMo at its PBEsol-relaxed geometry.

Cell: 3.3533 3.3533 9.9324 Å, 90.00 90.00 90.00°
Atoms (fractional coordinates):
Y 0.0000 0.0000 0.0000
Y 0.5000 0.5000 0.5000
Si 0.0000 0.0000 0.7039
Si 0.5000 0.5000 0.2039
Mo 0.0000 0.0000 0.2967
Mo 0.5000 0.5000 0.7967

Results
* formation energy (no corrections): -0.21 eV/atom
* raw total energy: -0.8988 hartree per atom

---

A plane-wave DFT calculation with SCAN was carried out for LiBeMo at its PBEsol-relaxed geometry.

Cell: 5.3505 5.3505 5.3505 Å, 90.00 90.00 90.00°
Atoms (fractional coordinates):
Li 0.0000 0.0000 0.0000
Li 0.0000 0.5000 0.5000
Li 0.5000 0.0000 0.5000
Li 0.5000 0.5000 0.0000
Be 0.2500 0.2500 0.7500
Be 0.2500 0.7500 0.2500
Be 0.7500 0.2500 0.2500
Be 0.7500 0.7500 0.7500
Mo 0.0000 0.0000 0.5000
Mo 0.0000 0.5000 0.0000
Mo 0.5000 0.0000 0.0000
Mo 0.5000 0.5000 0.5000

Results
* raw total energy: -0.4758 hartree per atom
* ΔH_f (0 K): 89.5 kJ per mole of atoms

---

A plane-wave DFT calculation with SCAN was carried out for InSbC2 at its PBEsol-relaxed geometry.

Cell: 5.0750 5.0750 9.9555 Å, 90.00 90.00 90.00°
Atoms (fractional coordinates):
In 0.0000 0.0000 0.0000
In 0.0000 0.5000 0.2500
In 0.5000 0.0000 0.7500
In 0.5000 0.5000 0.5000
Sb 0.0000 0.0000 0.5000
Sb 0.0000 0.5000 0.7500
Sb 0.5000 0.0000 0.2500
Sb 0.5000 0.5000 0.0000
C 0.2320 0.2500 0.6250
C 0.2500 0.7320 0.8750
C 0.2500 0.7680 0.3750
C 0.2680 0.2500 0.1250
C 0.7320 0.7500 0.1250
C 0.7500 0.2320 0.3750
C 0.7500 0.2680 0.8750
C 0.7680 0.7500 0.6250

Results
* formation energy (no corrections): 0.96 eV/atom
* raw total energy: -0.7993 hartree per atom

---

A plane-wave DFT calculation with SCAN was carried out for CrMo2 at its PBEsol-relaxed geometry.

Cell: 5.8138 5.8138 5.1013 Å, 90.00 90.00 90.00°
Atoms (fractional coordinates):
Cr 0.0000 0.0000 0.2500
Cr 0.0000 0.0000 0.7500
Cr 0.5000 0.5000 0.2500
Cr 0.5000 0.5000 0.7500
Mo 0.1632 0.3368 0.0000
Mo 0.1632 0.6632 0.5000
Mo 0.3368 0.1632 0.5000
Mo 0.3368 0.8368 0.0000
Mo 0.6632 0.1632 0.0000
Mo 0.6632 0.8368 0.5000
Mo 0.8368 0.3368 0.5000
Mo 0.8368 0.6632 0.0000

Results
* raw total energy: -1.0674 hartree per atom
* ΔH_f (0 K): 32.7 kJ per mole of atoms